A geometry-optimized DyHoCd4 structure, computed with GGA-PBE.

Results
Energy of formation = -0.245 eV/atom
SG = F-43m (216)
Polymorph energy (0 for the lowest one) = 0.41 eV/f.u.
Volume = 145.1 Å³/cell

abc: 5.898 5.898 5.898
angles: 60.00 60.00 60.00
Element x y z (fractional)
1 Dy 0.250 0.250 0.250
2 Ho 0.000 0.000 0.000
3 Cd 0.625 0.625 0.625
4 Cd 0.125 0.625 0.625
5 Cd 0.625 0.625 0.125
6 Cd 0.625 0.125 0.625